Entry 1:
Crystalline MnCrCo2 at its relaxed geometry, computed with PBE-GGA.

CIF file:
```
data_MnCrCo2
_chemical_formula_sum 'Mn4 Cr4 Co8'
_cell_length_a 5.6689
_cell_length_b 5.6689
_cell_length_c 5.6689
_cell_angle_alpha 90.00
_cell_angle_beta 90.00
_cell_angle_gamma 90.00
_space_group_name_H-M_alt 'F -4 3 m'
_space_group_IT_number 216
_space_group_name_Hall 'F -4 2 3'
loop_
_atom_site_label
_atom_site_type_symbol
_atom_site_fract_x
_atom_site_fract_y
_atom_site_fract_z
Mn1 Mn 0.0000 0.0000 0.0000
Cr1 Cr 0.2500 0.2500 0.2500
Co1 Co 0.0000 0.0000 0.5000
Co2 Co 0.2500 0.2500 0.7500
```

## Properties
Final energy   -8.1186 eV per atom

---

Entry 2:
Crystalline MgTlCd2In at its relaxed geometry, computed with PBE-GGA.

CIF file:
```
data_MgTlCd2In
_chemical_formula_sum 'Mg4 Tl4 Cd8 In4'
_cell_length_a 5.0249
_cell_length_b 11.6917
_cell_length_c 8.7978
_cell_angle_alpha 90.00
_cell_angle_beta 90.00
_cell_angle_gamma 90.00
_space_group_name_H-M_alt 'C m c m'
_space_group_IT_number 63
_space_group_name_Hall '-C 2c 2'
loop_
_atom_site_label
_atom_site_type_symbol
_atom_site_fract_x
_atom_site_fract_y
_atom_site_fract_z
Mg1 Mg 0.0000 0.1762 0.2500
Tl1 Tl 0.0000 0.4534 0.2500
Cd1 Cd 0.0000 0.2772 0.5791
In1 In 0.0000 0.0000 0.0000
```

## Properties
Final energy   -1.6958 eV per atom

---

Entry 3:
Crystalline YThCoOs at its relaxed geometry, computed with PBE-GGA.

CIF file:
```
data_YThCoOs
_chemical_formula_sum 'Y4 Th4 Co4 Os4'
_cell_length_a 6.9278
_cell_length_b 6.9278
_cell_length_c 6.9278
_cell_angle_alpha 90.00
_cell_angle_beta 90.00
_cell_angle_gamma 90.00
_space_group_name_H-M_alt 'F -4 3 m'
_space_group_IT_number 216
_space_group_name_Hall 'F -4 2 3'
loop_
_atom_site_label
_atom_site_type_symbol
_atom_site_fract_x
_atom_site_fract_y
_atom_site_fract_z
Y1 Y 0.0000 0.0000 0.0000
Th1 Th 0.0000 0.0000 0.5000
Co1 Co 0.2500 0.2500 0.7500
Os1 Os 0.2500 0.2500 0.2500
```

## Properties
Final energy   -8.2411 eV per atom

---

Entry 4:
Crystalline Na3In3GeO8 at its relaxed geometry, computed with PBE-GGA.

CIF file:
```
data_Na3In3GeO8
_chemical_formula_sum 'Na9 In9 Ge3 O24'
_cell_length_a 6.4053
_cell_length_b 6.4053
_cell_length_c 16.7295
_cell_angle_alpha 90.00
_cell_angle_beta 90.00
_cell_angle_gamma 120.00
_space_group_name_H-M_alt 'R -3 m'
_space_group_IT_number 166
_space_group_name_Hall '-R 3 2"'
loop_
_atom_site_label
_atom_site_type_symbol
_atom_site_fract_x
_atom_site_fract_y
_atom_site_fract_z
Na1 Na 0.0000 0.5000 0.0000
In1 In 0.0000 0.5000 0.5000
Ge1 Ge 0.0000 0.0000 0.5000
O1 O 0.0000 0.0000 0.2369
O2 O 0.0363 0.5182 0.2318
```

## Properties
Formation energy (no corrections)   -1.648 eV per atom

---

Entry 5:
Crystalline Cd2NF at its relaxed geometry, computed with PBE-GGA.

CIF file:
```
data_Cd2NF
_chemical_formula_sum 'Cd8 N4 F4'
_cell_length_a 5.2076
_cell_length_b 5.2076
_cell_length_c 11.0745
_cell_angle_alpha 90.00
_cell_angle_beta 90.00
_cell_angle_gamma 90.00
_space_group_name_H-M_alt 'I -4 2 d'
_space_group_IT_number 122
_space_group_name_Hall 'I -4 2bw'
loop_
_atom_site_label
_atom_site_type_symbol
_atom_site_fract_x
_atom_site_fract_y
_atom_site_fract_z
Cd1 Cd 0.1964 0.2500 0.1250
N1 N 0.0000 0.0000 0.0000
F1 F 0.0000 0.0000 0.5000
```

## Properties
Formation energy (no corrections)   -0.478 eV per atom

---

Entry 6:
Crystalline LaTi2MnAg at its relaxed geometry, computed with PBE-GGA.

CIF file:
```
data_LaTi2MnAg
_chemical_formula_sum 'La1 Ti2 Mn1 Ag1'
_cell_length_a 4.5002
_cell_length_b 4.5002
_cell_length_c 5.2472
_cell_angle_alpha 90.00
_cell_angle_beta 90.00
_cell_angle_gamma 90.00
_space_group_name_H-M_alt 'P 4/m m m'
_space_group_IT_number 123
_space_group_name_Hall '-P 4 2'
loop_
_atom_site_label
_atom_site_type_symbol
_atom_site_fract_x
_atom_site_fract_y
_atom_site_fract_z
La1 La 0.0000 0.0000 0.0000
Ti1 Ti 0.0000 0.5000 0.5000
Mn1 Mn 0.5000 0.5000 0.5000
Ag1 Ag 0.5000 0.5000 0.0000
```

## Properties
E above lowest polymorph   0.000 eV/atom

---

Entry 7:
Crystalline TlCuIr at its relaxed geometry, computed with PBE-GGA.

CIF file:
```
data_TlCuIr
_chemical_formula_sum 'Tl2 Cu2 Ir2'
_cell_length_a 3.0438
_cell_length_b 3.7729
_cell_length_c 8.7053
_cell_angle_alpha 90.00
_cell_angle_beta 90.00
_cell_angle_gamma 90.00
_space_group_name_H-M_alt 'I m m 2'
_space_group_IT_number 44
loop_
_space_group_symop_operation_xyz
'x,y,z'
'-x,-y,z'
'-x,y,z'
'x,-y,z'
'x+1/2,y+1/2,z+1/2'
'-x+1/2,-y+1/2,z+1/2'
'-x+1/2,y+1/2,z+1/2'
'x+1/2,-y+1/2,z+1/2'
loop_
_atom_site_label
_atom_site_type_symbol
_atom_site_fract_x
_atom_site_fract_y
_atom_site_fract_z
Tl1 Tl 0.0000 0.0000 0.0000
Cu1 Cu 0.0000 0.0000 0.6821
Ir1 Ir 0.0000 0.0000 0.3219
```

## Properties
E above lowest polymorph   0.000 eV/atom

---

Entry 8:
Crystalline CsCI2N at its relaxed geometry, computed with PBE-GGA.

CIF file:
```
data_CsCI2N
_chemical_formula_sum 'Cs1 C1 I2 N1'
_cell_length_a 7.1721
_cell_length_b 7.1721
_cell_length_c 2.9670
_cell_angle_alpha 90.00
_cell_angle_beta 90.00
_cell_angle_gamma 90.00
_space_group_name_H-M_alt 'P 4/m m m'
_space_group_IT_number 123
_space_group_name_Hall '-P 4 2'
loop_
_atom_site_label
_atom_site_type_symbol
_atom_site_fract_x
_atom_site_fract_y
_atom_site_fract_z
Cs1 Cs 0.0000 0.0000 0.0000
C1 C 0.5000 0.5000 0.5000
I1 I 0.0000 0.5000 0.5000
N1 N 0.5000 0.5000 0.0000
```

## Properties
E above lowest polymorph   0.000 eV/atom
Formation energy (no corrections)   0.712 eV per atom

---

Entry 9:
Crystalline AlCdCo at its relaxed geometry, computed with PBE-GGA.

CIF file:
```
data_AlCdCo
_chemical_formula_sum 'Al4 Cd4 Co4'
_cell_length_a 5.9298
_cell_length_b 5.9298
_cell_length_c 5.9298
_cell_angle_alpha 90.00
_cell_angle_beta 90.00
_cell_angle_gamma 90.00
_space_group_name_H-M_alt 'F -4 3 m'
_space_group_IT_number 216
_space_group_name_Hall 'F -4 2 3'
loop_
_atom_site_label
_atom_site_type_symbol
_atom_site_fract_x
_atom_site_fract_y
_atom_site_fract_z
Al1 Al 0.0000 0.0000 0.0000
Cd1 Cd 0.0000 0.0000 0.5000
Co1 Co 0.2500 0.2500 0.7500
```

## Properties
E above lowest polymorph   0.240 eV/atom

---

Entry 10:
Crystalline PmTl2PbO6 at its relaxed geometry, computed with PBE-GGA.

CIF file:
```
data_PmTl2PbO6
_chemical_formula_sum 'Pm3 Tl6 Pb3 O18'
_cell_length_a 5.9354
_cell_length_b 5.9354
_cell_length_c 15.6074
_cell_angle_alpha 90.00
_cell_angle_beta 90.00
_cell_angle_gamma 120.00
_space_group_name_H-M_alt 'R 3'
_space_group_IT_number 146
_space_group_name_Hall 'R 3'
loop_
_atom_site_label
_atom_site_type_symbol
_atom_site_fract_x
_atom_site_fract_y
_atom_site_fract_z
Pm1 Pm 0.0000 0.0000 0.0000
Tl1 Tl 0.0000 0.0000 0.2754
Tl2 Tl 0.0000 0.0000 0.7795
Pb1 Pb 0.0000 0.0000 0.4943
O1 O 0.0057 0.7125 0.3910
O2 O 0.0400 0.3718 0.5547
```

## Properties
Formation energy (no corrections)   -1.368 eV per atom

---

Entry 11:
Crystalline Sc4GaCoRh2 at its relaxed geometry, computed with PBE-GGA.

CIF file:
```
data_Sc4GaCoRh2
_chemical_formula_sum 'Sc12 Ga3 Co3 Rh6'
_cell_length_a 4.5737
_cell_length_b 4.5737
_cell_length_c 22.5503
_cell_angle_alpha 90.00
_cell_angle_beta 90.00
_cell_angle_gamma 120.00
_space_group_name_H-M_alt 'R -3 m'
_space_group_IT_number 166
_space_group_name_Hall '-R 3 2"'
loop_
_atom_site_label
_atom_site_type_symbol
_atom_site_fract_x
_atom_site_fract_y
_atom_site_fract_z
Sc1 Sc 0.0000 0.0000 0.1197
Sc2 Sc 0.0000 0.0000 0.3711
Ga1 Ga 0.0000 0.0000 0.5000
Co1 Co 0.0000 0.0000 0.0000
Rh1 Rh 0.0000 0.0000 0.2499
```

## Properties
Final energy   -6.9951 eV per atom

---

Entry 12:
Crystalline Na2SmSbSe4 at its relaxed geometry, computed with PBE-GGA.

CIF file:
```
data_Na2SmSbSe4
_chemical_formula_sum 'Na2 Sm1 Sb1 Se4'
_cell_length_a 7.3008
_cell_length_b 4.1977
_cell_length_c 7.4279
_cell_angle_alpha 90.00
_cell_angle_beta 109.05
_cell_angle_gamma 90.00
_space_group_name_H-M_alt 'P 1 2/m 1'
_space_group_IT_number 10
loop_
_space_group_symop_operation_xyz
'x,y,z'
'-x,-y,-z'
'-x,y,-z'
'x,-y,z'
loop_
_atom_site_label
_atom_site_type_symbol
_atom_site_fract_x
_atom_site_fract_y
_atom_site_fract_z
Na1 Na 0.0000 0.0000 0.0000
Na2 Na 0.5000 0.5000 0.0000
Sm1 Sm 0.0000 0.5000 0.5000
Sb1 Sb 0.5000 0.0000 0.5000
Se1 Se 0.2482 0.0000 0.7322
Se2 Se 0.2586 0.5000 0.2678
```

## Properties
Formation energy (no corrections)   -1.165 eV per atom

---

Entry 13:
Crystalline MnCd at its relaxed geometry, computed with PBE-GGA.

CIF file:
```
data_MnCd
_chemical_formula_sum 'Mn8 Cd8'
_cell_length_a 4.5891
_cell_length_b 10.5808
_cell_length_c 6.5315
_cell_angle_alpha 90.00
_cell_angle_beta 110.56
_cell_angle_gamma 90.00
_space_group_name_H-M_alt 'C 1 2/m 1'
_space_group_IT_number 12
loop_
_space_group_symop_operation_xyz
'x,y,z'
'-x,-y,-z'
'-x,y,-z'
'x,-y,z'
'x+1/2,y+1/2,z'
'-x+1/2,-y+1/2,-z'
'-x+1/2,y+1/2,-z'
'x+1/2,-y+1/2,z'
loop_
_atom_site_label
_atom_site_type_symbol
_atom_site_fract_x
_atom_site_fract_y
_atom_site_fract_z
Mn1 Mn 0.0000 0.1337 0.0000
Mn2 Mn 0.1714 0.0000 0.3441
Cd1 Cd 0.1395 0.3471 0.2801
```

## Properties
Final energy   -4.7080 eV per atom

---

Entry 14:
Crystalline LiTa2P at its relaxed geometry, computed with PBE-GGA.

CIF file:
```
data_LiTa2P
_chemical_formula_sum 'Li1 Ta2 P1'
_cell_length_a 3.3754
_cell_length_b 3.5849
_cell_length_c 5.0119
_cell_angle_alpha 90.00
_cell_angle_beta 109.55
_cell_angle_gamma 90.00
_space_group_name_H-M_alt 'P 1 m 1'
_space_group_IT_number 6
loop_
_space_group_symop_operation_xyz
'x,y,z'
'x,-y,z'
loop_
_atom_site_label
_atom_site_type_symbol
_atom_site_fract_x
_atom_site_fract_y
_atom_site_fract_z
Li1 Li 0.0000 0.0000 0.0000
Ta1 Ta 0.4169 0.5000 0.8333
Ta2 Ta 0.7232 0.0000 0.4506
P1 P 0.1338 0.5000 0.2690
```

## Properties
Final energy   -8.1158 eV per atom

---

Entry 15:
Crystalline HgBAs2Se at its relaxed geometry, computed with PBE-GGA.

CIF file:
```
data_HgBAs2Se
_chemical_formula_sum 'Hg1 B1 As2 Se1'
_cell_length_a 5.1815
_cell_length_b 5.1815
_cell_length_c 5.3703
_cell_angle_alpha 90.00
_cell_angle_beta 90.00
_cell_angle_gamma 90.00
_space_group_name_H-M_alt 'P 4/m m m'
_space_group_IT_number 123
_space_group_name_Hall '-P 4 2'
loop_
_atom_site_label
_atom_site_type_symbol
_atom_site_fract_x
_atom_site_fract_y
_atom_site_fract_z
Hg1 Hg 0.0000 0.0000 0.0000
B1 B 0.5000 0.5000 0.5000
As1 As 0.0000 0.5000 0.0000
Se1 Se 0.0000 0.0000 0.5000
```

## Properties
E above lowest polymorph   1.068 eV/atom
Formation energy (no corrections)   1.816 eV per atom

---

Entry 16:
Crystalline Li2LaHg2 at its relaxed geometry, computed with PBE-GGA.

CIF file:
```
data_Li2LaHg2
_chemical_formula_sum 'Li4 La2 Hg4'
_cell_length_a 4.1402
_cell_length_b 4.1402
_cell_length_c 13.9549
_cell_angle_alpha 90.00
_cell_angle_beta 90.00
_cell_angle_gamma 90.00
_space_group_name_H-M_alt 'I 4/m m m'
_space_group_IT_number 139
_space_group_name_Hall '-I 4 2'
loop_
_atom_site_label
_atom_site_type_symbol
_atom_site_fract_x
_atom_site_fract_y
_atom_site_fract_z
Li1 Li 0.0000 0.5000 0.2500
La1 La 0.0000 0.0000 0.0000
Hg1 Hg 0.0000 0.0000 0.3847
```

## Properties
E above lowest polymorph   0.000 eV/atom

---

Entry 17:
Crystalline Rb2CdBiF6 at its relaxed geometry, computed with PBE-GGA.

CIF file:
```
data_Rb2CdBiF6
_chemical_formula_sum 'Rb4 Cd2 Bi2 F12'
_cell_length_a 6.6938
_cell_length_b 6.6938
_cell_length_c 9.4441
_cell_angle_alpha 90.00
_cell_angle_beta 90.00
_cell_angle_gamma 90.00
_space_group_name_H-M_alt 'I 4/m m m'
_space_group_IT_number 139
_space_group_name_Hall '-I 4 2'
loop_
_atom_site_label
_atom_site_type_symbol
_atom_site_fract_x
_atom_site_fract_y
_atom_site_fract_z
Rb1 Rb 0.0000 0.5000 0.2500
Cd1 Cd 0.0000 0.0000 0.0000
Bi1 Bi 0.0000 0.0000 0.5000
F1 F 0.0000 0.0000 0.2559
F2 F 0.2432 0.2432 0.5000
```

## Properties
Formation energy (no corrections)   -2.314 eV per atom

---

Entry 18:
Crystalline NaIrCl4 at its relaxed geometry, computed with PBE-GGA.

CIF file:
```
data_NaIrCl4
_chemical_formula_sum 'Na2 Ir2 Cl8'
_cell_length_a 7.0644
_cell_length_b 7.0644
_cell_length_c 7.2756
_cell_angle_alpha 90.00
_cell_angle_beta 90.00
_cell_angle_gamma 90.00
_space_group_name_H-M_alt 'I -4'
_space_group_IT_number 82
loop_
_space_group_symop_operation_xyz
'x,y,z'
'y,-x,-z'
'-x,-y,z'
'-y,x,-z'
'x+1/2,y+1/2,z+1/2'
'y+1/2,-x+1/2,-z+1/2'
'-x+1/2,-y+1/2,z+1/2'
'-y+1/2,x+1/2,-z+1/2'
loop_
_atom_site_label
_atom_site_type_symbol
_atom_site_fract_x
_atom_site_fract_y
_atom_site_fract_z
Na1 Na 0.0000 0.0000 0.0000
Ir1 Ir 0.0000 0.5000 0.7500
Cl1 Cl 0.2071 0.2530 0.7540
```

## Properties
E above lowest polymorph   0.221 eV/atom
Formation energy (no corrections)   -0.665 eV per atom

---

Entry 19:
Crystalline CaMg2Zr at its relaxed geometry, computed with PBE-GGA.

CIF file:
```
data_CaMg2Zr
_chemical_formula_sum 'Ca2 Mg4 Zr2'
_cell_length_a 11.9998
_cell_length_b 3.1808
_cell_length_c 5.7556
_cell_angle_alpha 90.00
_cell_angle_beta 111.06
_cell_angle_gamma 90.00
_space_group_name_H-M_alt 'C 1 m 1'
_space_group_IT_number 8
loop_
_space_group_symop_operation_xyz
'x,y,z'
'x,-y,z'
'x+1/2,y+1/2,z'
'x+1/2,-y+1/2,z'
loop_
_atom_site_label
_atom_site_type_symbol
_atom_site_fract_x
_atom_site_fract_y
_atom_site_fract_z
Ca1 Ca 0.0000 0.0000 0.0000
Mg1 Mg 0.2567 0.5000 0.1370
Mg2 Mg 0.4767 0.0000 0.4947
Zr1 Zr 0.2224 0.0000 0.6175
```

## Properties
Final energy   -3.2738 eV per atom